1.
# LiMgTe2 | Alexandria | PBE-GGA | optimized geometry
# Final energy: -0.2155 Ry/atom
data_LiMgTe2
_chemical_formula_sum 'Li2 Mg2 Te4'
_space_group_name_H-M_alt 'C m m m'
_space_group_IT_number 65
_space_group_name_Hall '-C 2 2'
_cell_length_a 6.628
_cell_length_b 7.766
_cell_length_c 3.891
_cell_angle_alpha 90.00
_cell_angle_beta 90.00
_cell_angle_gamma 90.00
loop_
_atom_site_label
_atom_site_fract_x
_atom_site_fract_y
_atom_site_fract_z
_atom_site_occupancy
Li1 0.000 0.000 0.000 1
Mg1 0.000 0.500 0.000 1
Te1 0.250 0.250 0.500 1


2.
# LiMgTe2 | Alexandria | PBE-GGA | optimized geometry
# Final energy: -0.1879 Ry/atom
data_LiMgTe2
_chemical_formula_sum 'Li4 Mg4 Te8'
_space_group_name_H-M_alt 'F -4 3 m'
_space_group_IT_number 216
_space_group_name_Hall 'F -4 2 3'
_cell_length_a 7.470
_cell_length_b 7.470
_cell_length_c 7.470
_cell_angle_alpha 90.00
_cell_angle_beta 90.00
_cell_angle_gamma 90.00
loop_
_atom_site_label
_atom_site_fract_x
_atom_site_fract_y
_atom_site_fract_z
_atom_site_occupancy
Li1 0.000 0.000 0.000 1
Mg1 0.250 0.250 0.250 1
Te1 0.000 0.000 0.500 1
Te2 0.250 0.250 0.750 1


3.
# LiMgTe2 | Alexandria | PBE-GGA | optimized geometry
# Final energy: -0.2300 Ry/atom
data_LiMgTe2
_chemical_formula_sum 'Li3 Mg3 Te6'
_space_group_name_H-M_alt 'R 3 m'
_space_group_IT_number 160
_space_group_name_Hall 'R 3 -2"'
_cell_length_a 4.3745
_cell_length_b 4.3745
_cell_length_c 19.3025
_cell_angle_alpha 90.00
_cell_angle_beta 90.00
_cell_angle_gamma 120.00
loop_
_atom_site_label
_atom_site_fract_x
_atom_site_fract_y
_atom_site_fract_z
_atom_site_occupancy
Li1 0.0000 0.0000 0.0000 1
Mg1 0.0000 0.0000 0.1681 1
Te1 0.0000 0.0000 0.5806 1
Te2 0.0000 0.0000 0.7535 1


4.
# LiMgTe2 | Alexandria | PBE-GGA | optimized geometry
# Final energy: -0.1965 Ry/atom
data_LiMgTe2
_chemical_formula_sum 'Li1 Mg1 Te2'
_space_group_name_H-M_alt 'P 4 m m'
_space_group_IT_number 99
_cell_length_a 3.230
_cell_length_b 3.230
_cell_length_c 10.578
_cell_angle_alpha 90.00
_cell_angle_beta 90.00
_cell_angle_gamma 90.00
loop_
_space_group_symop_operation_xyz
'x,y,z'
'-y,x,z'
'-x,-y,z'
'y,-x,z'
'-x,y,z'
'y,x,z'
'x,-y,z'
'-y,-x,z'
loop_
_atom_site_label
_atom_site_fract_x
_atom_site_fract_y
_atom_site_fract_z
_atom_site_occupancy
Li1 0.000 0.000 0.000 1
Mg1 0.500 0.500 0.235 1
Te1 0.000 0.000 0.442 1
Te2 0.500 0.500 0.815 1


5.
# LiMgTe2 | Alexandria | PBE-GGA | optimized geometry
# Final energy: -0.2231 Ry/atom
data_LiMgTe2
_chemical_formula_sum 'Li2 Mg2 Te4'
_space_group_name_H-M_alt 'I m m 2'
_space_group_IT_number 44
_cell_length_a 3.925
_cell_length_b 3.960
_cell_length_c 13.294
_cell_angle_alpha 90.00
_cell_angle_beta 90.00
_cell_angle_gamma 90.00
loop_
_space_group_symop_operation_xyz
'x,y,z'
'-x,-y,z'
'-x,y,z'
'x,-y,z'
'x+1/2,y+1/2,z+1/2'
'-x+1/2,-y+1/2,z+1/2'
'-x+1/2,y+1/2,z+1/2'
'x+1/2,-y+1/2,z+1/2'
loop_
_atom_site_label
_atom_site_fract_x
_atom_site_fract_y
_atom_site_fract_z
_atom_site_occupancy
Li1 0.000 0.000 0.000 1
Mg1 0.000 0.500 0.744 1
Te1 0.000 0.000 0.581 1
Te2 0.000 0.500 0.334 1


6.
# Li2Mg2Te3 | Alexandria | PBE-GGA | optimized geometry
# Final energy: -0.2387 Ry/atom
data_Li2Mg2Te3
_chemical_formula_sum 'Li16 Mg16 Te24'
_space_group_name_H-M_alt 'C 1 2/c 1'
_space_group_IT_number 15
_cell_length_a 16.562
_cell_length_b 13.953
_cell_length_c 7.898
_cell_angle_alpha 90.00
_cell_angle_beta 117.83
_cell_angle_gamma 90.00
loop_
_space_group_symop_operation_xyz
'x,y,z'
'-x,-y,-z'
'-x,y,-z+1/2'
'x,-y,z+1/2'
'x+1/2,y+1/2,z'
'-x+1/2,-y+1/2,-z'
'-x+1/2,y+1/2,-z+1/2'
'x+1/2,-y+1/2,z+1/2'
loop_
_atom_site_label
_atom_site_fract_x
_atom_site_fract_y
_atom_site_fract_z
_atom_site_occupancy
Li1 0.000 0.084 0.250 1
Li2 0.000 0.237 0.750 1
Li3 0.084 0.420 0.026 1
Mg1 0.180 0.242 0.604 1
Mg2 0.196 0.076 0.101 1
Te1 0.114 0.403 0.708 1
Te2 0.115 0.077 0.699 1
Te3 0.125 0.238 0.207 1


What are the E_form (uncorrected) values for these records? In order: -483; -109; -681; -226; -588; -899 meV per atom.
What are the theoretical density values for these records? In order: 4.75; 4.57; 4.46; 4.31; 4.60; 3.67 Mg/m³.